(1)
VASP calculation (PBE) on a geometry-optimized AlAu structure.

CIF file:
```
data_AlAu
_space_group_name_H-M_alt 'C 1 m 1'
_space_group_IT_number 8
_space_group_name_Hall 'C -2y'
_cell_length_a 8.9852
_cell_length_b 3.5814
_cell_length_c 6.8595
_cell_angle_alpha 90.00
_cell_angle_beta 112.19
_cell_angle_gamma 90.00
loop_
_atom_site_label
_atom_site_fract_x
_atom_site_fract_y
_atom_site_fract_z
_atom_site_occupancy
Al1 0.0000 0.0000 0.0000 1
Al2 0.0425 0.0000 0.5683 1
Al3 0.2039 0.5000 0.3409 1
Au1 0.1859 0.5000 0.9033 1
Au2 0.3457 0.0000 0.6607 1
Au3 0.3980 0.0000 0.2421 1
```

As for the formation energy: -0.33 eV per atom. The density of states at the Fermi level is 0.30 states/eV/f.u. The total magnetization comes out at 0.00 μB per formula unit.



(2)
VASP calculation (PBE) on a geometry-optimized AlCr2H structure.

CIF file:
```
data_AlCr2H
_space_group_name_H-M_alt 'I 41/a m d'
_space_group_IT_number 141
_cell_length_a 5.0315
_cell_length_b 5.0315
_cell_length_c 7.1710
_cell_angle_alpha 90.00
_cell_angle_beta 90.00
_cell_angle_gamma 90.00
loop_
_space_group_symop_operation_xyz
'x,y,z'
'-x,-y,-z'
'-y+1/4,x+3/4,z+1/4'
'y+1/4,-x+3/4,-z+1/4'
'-x+1/2,-y,z+1/2'
'x+1/2,y,-z+1/2'
'y+1/4,-x+1/4,z+3/4'
'-y+1/4,x+1/4,-z+3/4'
'x,-y,-z'
'-x,y,z'
'-y+1/4,-x+1/4,-z+3/4'
'y+1/4,x+1/4,z+3/4'
'-x+1/2,y,-z+1/2'
'x+1/2,-y,z+1/2'
'y+1/4,x+3/4,-z+1/4'
'-y+1/4,-x+3/4,z+1/4'
'x+1/2,y+1/2,z+1/2'
'-x+1/2,-y+1/2,-z+1/2'
'-y+3/4,x+1/4,z+3/4'
'y+3/4,-x+1/4,-z+3/4'
'-x,-y+1/2,z'
'x,y+1/2,-z'
'y+3/4,-x+3/4,z+1/4'
'-y+3/4,x+3/4,-z+1/4'
'x+1/2,-y+1/2,-z+1/2'
'-x+1/2,y+1/2,z+1/2'
'-y+3/4,-x+3/4,-z+1/4'
'y+3/4,x+3/4,z+1/4'
'-x,y+1/2,-z'
'x,-y+1/2,z'
'y+3/4,x+1/4,-z+3/4'
'-y+3/4,-x+1/4,z+3/4'
loop_
_atom_site_label
_atom_site_fract_x
_atom_site_fract_y
_atom_site_fract_z
_atom_site_occupancy
Al1 0.0000 0.2500 0.3750 1
Cr1 0.0000 0.0000 0.0000 1
H1 0.0000 0.2500 0.8750 1
```

The calculation puts the energy above the most stable polymorph in this dataset at 0 meV/atom. The density of states at the Fermi level is 3.09 states/eV/f.u. The total magnetization comes out at 0.00 μB per formula unit.



(3)
VASP calculation (PBE) on a geometry-optimized Eu2ZnPt structure.

CIF file:
```
data_Eu2ZnPt
_space_group_name_H-M_alt 'P 4/m m m'
_space_group_IT_number 123
_space_group_name_Hall '-P 4 2'
_cell_length_a 3.6956
_cell_length_b 3.6956
_cell_length_c 7.2419
_cell_angle_alpha 90.00
_cell_angle_beta 90.00
_cell_angle_gamma 90.00
loop_
_atom_site_label
_atom_site_fract_x
_atom_site_fract_y
_atom_site_fract_z
_atom_site_occupancy
Eu1 0.0000 0.0000 0.2344 1
Zn1 0.5000 0.5000 0.5000 1
Pt1 0.5000 0.5000 0.0000 1
```

As for the formation energy: -0.60 eV per atom. The density of states at the Fermi level is 13.13 states/eV/f.u. The total magnetization comes out at 14.11 μB per formula unit.



(4)
VASP calculation (PBE) on a geometry-optimized TbPbC structure.

CIF file:
```
data_TbPbC
_space_group_name_H-M_alt 'I m m m'
_space_group_IT_number 71
_space_group_name_Hall '-I 2 2'
_cell_length_a 3.8579
_cell_length_b 4.4272
_cell_length_c 17.8304
_cell_angle_alpha 90.00
_cell_angle_beta 90.00
_cell_angle_gamma 90.00
loop_
_atom_site_label
_atom_site_fract_x
_atom_site_fract_y
_atom_site_fract_z
_atom_site_occupancy
Tb1 0.0000 0.0000 0.1017 1
Pb1 0.0000 0.0000 0.2935 1
C1 0.0000 0.3568 0.0000 1
```

As for the formation energy: 0.13 eV per atom. The density of states at the Fermi level is 2.00 states/eV/f.u. The total magnetization comes out at 0.00 μB per formula unit.



(5)
VASP calculation (PBE) on a geometry-optimized NbSiPt structure.

CIF file:
```
data_NbSiPt
_space_group_name_H-M_alt 'P 1 21/m 1'
_space_group_IT_number 11
_space_group_name_Hall '-P 2yb'
_cell_length_a 6.5132
_cell_length_b 3.8544
_cell_length_c 11.1085
_cell_angle_alpha 90.00
_cell_angle_beta 90.30
_cell_angle_gamma 90.00
loop_
_atom_site_label
_atom_site_fract_x
_atom_site_fract_y
_atom_site_fract_z
_atom_site_occupancy
Nb1 0.0256 0.2500 0.2113 1
Nb2 0.3615 0.7500 0.5748 1
Nb3 0.4690 0.7500 0.8893 1
Si1 0.2351 0.7500 0.0885 1
Si2 0.2364 0.2500 0.4112 1
Si3 0.2703 0.2500 0.7497 1
Pt1 0.0191 0.2500 0.5910 1
Pt2 0.1539 0.2500 0.9578 1
Pt3 0.3719 0.7500 0.2951 1
```

For the formation energy (no corrections), the calculation gives -790 meV per atom. The density of states at the Fermi level is 1.70 states/eV/f.u. The total magnetization comes out at 0.00 μB per formula unit.



(6)
VASP calculation (PBE) on a geometry-optimized DyYIn structure.

CIF file:
```
data_DyYIn
_space_group_name_H-M_alt 'I 4 m m'
_space_group_IT_number 107
_space_group_name_Hall 'I 4 -2'
_cell_length_a 3.5499
_cell_length_b 3.5499
_cell_length_c 13.7414
_cell_angle_alpha 90.00
_cell_angle_beta 90.00
_cell_angle_gamma 90.00
loop_
_atom_site_label
_atom_site_fract_x
_atom_site_fract_y
_atom_site_fract_z
_atom_site_occupancy
Dy1 0.0000 0.0000 0.0000 1
Y1 0.0000 0.0000 0.6899 1
In1 0.0000 0.0000 0.3452 1
```

The calculation puts the energy above the most stable polymorph in this dataset at 0 meV/atom. As for the formation energy: -0.33 eV per atom. The density of states at the Fermi level is 3.14 states/eV/f.u. The total magnetization comes out at 0.00 μB per formula unit.



(7)
VASP calculation (PBE) on a geometry-optimized Ba3Sn8Au3 structure.

CIF file:
```
data_Ba3Sn8Au3
_space_group_name_H-M_alt 'I m m m'
_space_group_IT_number 71
_space_group_name_Hall '-I 2 2'
_cell_length_a 4.7496
_cell_length_b 12.0091
_cell_length_c 14.8571
_cell_angle_alpha 90.00
_cell_angle_beta 90.00
_cell_angle_gamma 90.00
loop_
_atom_site_label
_atom_site_fract_x
_atom_site_fract_y
_atom_site_fract_z
_atom_site_occupancy
Ba1 0.0000 0.0000 0.0000 1
Ba2 0.0000 0.0000 0.3312 1
Sn1 0.0000 0.2879 0.1122 1
Sn2 0.0000 0.3693 0.3282 1
Au1 0.0000 0.2678 0.5000 1
Au2 0.0000 0.5000 0.0000 1
```

The calculation puts the energy above the most stable polymorph in this dataset at 40 meV/atom. As for the formation energy: -0.42 eV per atom. The density of states at the Fermi level is 5.30 states/eV/f.u. The total magnetization comes out at 0.00 μB per formula unit.



(8)
VASP calculation (PBE) on a geometry-optimized YZr2Zn structure.

CIF file:
```
data_YZr2Zn
_space_group_name_H-M_alt 'P 1 2/m 1'
_space_group_IT_number 10
_space_group_name_Hall '-P 2y'
_cell_length_a 3.2486
_cell_length_b 5.3171
_cell_length_c 5.4231
_cell_angle_alpha 90.00
_cell_angle_beta 97.44
_cell_angle_gamma 90.00
loop_
_atom_site_label
_atom_site_fract_x
_atom_site_fract_y
_atom_site_fract_z
_atom_site_occupancy
Y1 0.0000 0.0000 0.0000 1
Zr1 0.3265 0.5000 0.7337 1
Zn1 0.5000 0.0000 0.5000 1
```

As for the formation energy: 0.04 eV per atom. The density of states at the Fermi level is 5.67 states/eV/f.u. The total magnetization comes out at 0.00 μB per formula unit.



(9)
VASP calculation (PBE) on a geometry-optimized TcIrCl3 structure.

CIF file:
```
data_TcIrCl3
_space_group_name_H-M_alt 'P m -3 m'
_space_group_IT_number 221
_space_group_name_Hall '-P 4 2 3'
_cell_length_a 4.8272
_cell_length_b 4.8272
_cell_length_c 4.8272
_cell_angle_alpha 90.00
_cell_angle_beta 90.00
_cell_angle_gamma 90.00
loop_
_atom_site_label
_atom_site_fract_x
_atom_site_fract_y
_atom_site_fract_z
_atom_site_occupancy
Tc1 0.0000 0.0000 0.0000 1
Ir1 0.5000 0.5000 0.5000 1
Cl1 0.0000 0.0000 0.5000 1
```

For the formation energy (no corrections), the calculation gives 1026 meV per atom. The calculation puts the energy above the most stable polymorph in this dataset at 234 meV/atom. The density of states at the Fermi level is 10.54 states/eV/f.u. The total magnetization comes out at 5.06 μB per formula unit.



(10)
VASP calculation (PBE) on a geometry-optimized Sc2MnVH structure.

CIF file:
```
data_Sc2MnVH
_space_group_name_H-M_alt 'P 4/m m m'
_space_group_IT_number 123
_space_group_name_Hall '-P 4 2'
_cell_length_a 5.0701
_cell_length_b 5.0701
_cell_length_c 4.0931
_cell_angle_alpha 90.00
_cell_angle_beta 90.00
_cell_angle_gamma 90.00
loop_
_atom_site_label
_atom_site_fract_x
_atom_site_fract_y
_atom_site_fract_z
_atom_site_occupancy
Sc1 0.0000 0.5000 0.0000 1
Mn1 0.0000 0.0000 0.5000 1
V1 0.0000 0.0000 0.0000 1
H1 0.5000 0.5000 0.5000 1
```

The density of states at the Fermi level is 4.55 states/eV/f.u. The total magnetization comes out at 2.03 μB per formula unit.



(11)
VASP calculation (PBE) on a geometry-optimized Er4BiS2 structure.

CIF file:
```
data_Er4BiS2
_space_group_name_H-M_alt 'C m c m'
_space_group_IT_number 63
_space_group_name_Hall '-C 2c 2'
_cell_length_a 4.0464
_cell_length_b 12.8707
_cell_length_c 13.1674
_cell_angle_alpha 90.00
_cell_angle_beta 90.00
_cell_angle_gamma 90.00
loop_
_atom_site_label
_atom_site_fract_x
_atom_site_fract_y
_atom_site_fract_z
_atom_site_occupancy
Er1 0.0000 0.0000 0.0000 1
Er2 0.0000 0.2601 0.1147 1
Er3 0.0000 0.4284 0.7500 1
Bi1 0.0000 0.1093 0.7500 1
S1 0.0000 0.3686 0.5574 1
```

For the formation energy (no corrections), the calculation gives -1357 meV per atom. The density of states at the Fermi level is 2.53 states/eV/f.u. The total magnetization comes out at 0.00 μB per formula unit.



(12)
VASP calculation (PBE) on a geometry-optimized Ac5Ir2PtO structure.

CIF file:
```
data_Ac5Ir2PtO
_space_group_name_H-M_alt 'C m c 21'
_space_group_IT_number 36
_space_group_name_Hall 'C 2c -2'
_cell_length_a 4.3395
_cell_length_b 18.5077
_cell_length_c 13.0053
_cell_angle_alpha 90.00
_cell_angle_beta 90.00
_cell_angle_gamma 90.00
loop_
_atom_site_label
_atom_site_fract_x
_atom_site_fract_y
_atom_site_fract_z
_atom_site_occupancy
Ac1 0.0000 0.0054 0.0000 1
Ac2 0.0000 0.1427 0.2158 1
Ac3 0.0000 0.1980 0.5642 1
Ac4 0.0000 0.2033 0.8774 1
Ac5 0.0000 0.4632 0.2501 1
Ir1 0.0000 0.3042 0.2193 1
Ir2 0.0000 0.3755 0.5049 1
Pt1 0.0000 0.3847 0.9022 1
O1 0.0000 0.0034 0.1899 1
```

For the formation energy (no corrections), the calculation gives -1154 meV per atom. The density of states at the Fermi level is 4.31 states/eV/f.u. The total magnetization comes out at 0.00 μB per formula unit.



(13)
VASP calculation (PBE) on a geometry-optimized BaLa2MgRh structure.

CIF file:
```
data_BaLa2MgRh
_space_group_name_H-M_alt 'P 4/m m m'
_space_group_IT_number 123
_space_group_name_Hall '-P 4 2'
_cell_length_a 5.5473
_cell_length_b 5.5473
_cell_length_c 6.2028
_cell_angle_alpha 90.00
_cell_angle_beta 90.00
_cell_angle_gamma 90.00
loop_
_atom_site_label
_atom_site_fract_x
_atom_site_fract_y
_atom_site_fract_z
_atom_site_occupancy
Ba1 0.0000 0.0000 0.0000 1
La1 0.0000 0.5000 0.5000 1
Mg1 0.5000 0.5000 0.0000 1
Rh1 0.0000 0.0000 0.5000 1
```

The calculation puts the energy above the most stable polymorph in this dataset at 102 meV/atom. As for the formation energy: -0.19 eV per atom. The density of states at the Fermi level is 5.60 states/eV/f.u. The total magnetization comes out at 0.00 μB per formula unit.



(14)
VASP calculation (PBE) on a geometry-optimized Pm2Hg5 structure.

CIF file:
```
data_Pm2Hg5
_space_group_name_H-M_alt 'I b a m'
_space_group_IT_number 72
_space_group_name_Hall '-I 2 2c'
_cell_length_a 7.4710
_cell_length_b 14.2237
_cell_length_c 6.8119
_cell_angle_alpha 90.00
_cell_angle_beta 90.00
_cell_angle_gamma 90.00
loop_
_atom_site_label
_atom_site_fract_x
_atom_site_fract_y
_atom_site_fract_z
_atom_site_occupancy
Pm1 0.1991 0.1103 0.0000 1
Hg1 0.0000 0.2708 0.2500 1
Hg2 0.0000 0.5000 0.2500 1
Hg3 0.2172 0.1127 0.5000 1
```

As for the formation energy: -0.39 eV per atom. The density of states at the Fermi level is 3.93 states/eV/f.u. The total magnetization comes out at 0.00 μB per formula unit.



(15)
VASP calculation (PBE) on a geometry-optimized Pr3AgRh structure.

CIF file:
```
data_Pr3AgRh
_space_group_name_H-M_alt 'C 1 2/m 1'
_space_group_IT_number 12
_space_group_name_Hall '-C 2y'
_cell_length_a 10.5135
_cell_length_b 6.7916
_cell_length_c 8.9756
_cell_angle_alpha 90.00
_cell_angle_beta 118.51
_cell_angle_gamma 90.00
loop_
_atom_site_label
_atom_site_fract_x
_atom_site_fract_y
_atom_site_fract_z
_atom_site_occupancy
Pr1 0.0408 0.0000 0.2462 1
Pr2 0.1871 0.5000 0.8738 1
Pr3 0.2036 0.5000 0.3084 1
Ag1 0.0000 0.2933 0.5000 1
Rh1 0.0000 0.2850 0.0000 1
```

As for the formation energy: -0.36 eV per atom. The density of states at the Fermi level is 4.94 states/eV/f.u. The total magnetization comes out at 0.00 μB per formula unit.



(16)
VASP calculation (PBE) on a geometry-optimized Re2Ni15Mo2 structure.

CIF file:
```
data_Re2Ni15Mo2
_space_group_name_H-M_alt 'R -3 m'
_space_group_IT_number 166
_space_group_name_Hall '-R 3 2"'
_cell_length_a 8.0702
_cell_length_b 8.0702
_cell_length_c 12.3737
_cell_angle_alpha 90.00
_cell_angle_beta 90.00
_cell_angle_gamma 120.00
loop_
_atom_site_label
_atom_site_fract_x
_atom_site_fract_y
_atom_site_fract_z
_atom_site_occupancy
Re1 0.0000 0.0000 0.0999 1
Ni1 0.0000 0.3128 0.0000 1
Ni2 0.0000 0.5000 0.5000 1
Ni3 0.0069 0.5034 0.1547 1
Mo1 0.0000 0.0000 0.3055 1
```

As for the formation energy: 0.16 eV per atom. The density of states at the Fermi level is 27.88 states/eV/f.u. The total magnetization comes out at 4.21 μB per formula unit.



(17)
VASP calculation (PBE) on a geometry-optimized CdH2Pd2 structure.

CIF file:
```
data_CdH2Pd2
_space_group_name_H-M_alt 'P 4/m b m'
_space_group_IT_number 127
_space_group_name_Hall '-P 4 2ab'
_cell_length_a 5.9601
_cell_length_b 5.9601
_cell_length_c 3.4525
_cell_angle_alpha 90.00
_cell_angle_beta 90.00
_cell_angle_gamma 90.00
loop_
_atom_site_label
_atom_site_fract_x
_atom_site_fract_y
_atom_site_fract_z
_atom_site_occupancy
Cd1 0.0000 0.0000 0.0000 1
H1 0.1332 0.3668 0.0000 1
Pd1 0.1632 0.3368 0.5000 1
```

The calculation puts the energy above the most stable polymorph in this dataset at 127 meV/atom. The density of states at the Fermi level is 1.30 states/eV/f.u. The total magnetization comes out at 0.00 μB per formula unit.



(18)
VASP calculation (PBE) on a geometry-optimized Pm4Ho11Tm9 structure.

CIF file:
```
data_Pm4Ho11Tm9
_space_group_name_H-M_alt 'C m m m'
_space_group_IT_number 65
_space_group_name_Hall '-C 2 2'
_cell_length_a 20.3392
_cell_length_b 21.0256
_cell_length_c 3.5038
_cell_angle_alpha 90.00
_cell_angle_beta 90.00
_cell_angle_gamma 90.00
loop_
_atom_site_label
_atom_site_fract_x
_atom_site_fract_y
_atom_site_fract_z
_atom_site_occupancy
Pm1 0.1353 0.0858 0.0000 1
Ho1 0.0000 0.1589 0.5000 1
Ho2 0.0000 0.3310 0.5000 1
Ho3 0.0000 0.5000 0.5000 1
Ho4 0.2405 0.5000 0.5000 1
Ho5 0.2461 0.3316 0.5000 1
Tm1 0.0000 0.0000 0.0000 1
Tm2 0.1208 0.4151 0.0000 1
Tm3 0.1236 0.2476 0.0000 1
```

As for the formation energy: 0.06 eV per atom. The density of states at the Fermi level is 34.15 states/eV/f.u. The total magnetization comes out at 0.00 μB per formula unit.



Number 1: final energy -3.84 eV per atom. Number 2: final energy -6.24 eV per atom. Number 3: final energy -7.57 eV per atom. Number 4: final energy -5.72 eV per atom. Number 5: final energy -7.97 eV per atom. Number 6: final energy -4.93 eV per atom. Number 7: final energy -3.83 eV per atom. Number 8: final energy -6.17 eV per atom. Number 9: final energy -3.93 eV per atom. Number 10: final energy -5.82 eV per atom. Number 11: final energy -5.70 eV per atom. Number 12: final energy -6.63 eV per atom. Number 13: final energy -4.34 eV per atom. Number 14: final energy -1.96 eV per atom. Number 15: final energy -5.27 eV per atom. Number 16: final energy -6.86 eV per atom. Number 17: final energy -3.66 eV per atom. Number 18: final energy -4.51 eV per atom.